No. 1
# SbOs2Se PBEsol optimized geometry
data_SbOs2Se
_cell_length_a 3.031
_cell_length_b 4.409
_cell_length_c 5.312
_cell_angle_alpha 101.78
_cell_angle_beta 90.00
_cell_angle_gamma 110.10
_symmetry_space_group_name_H-M 'P 1'
_symmetry_Int_Tables_number 1
loop_
_symmetry_equiv_pos_as_xyz
'x,y,z'
loop_
_atom_site_label
_atom_site_fract_x
_atom_site_fract_y
_atom_site_fract_z
Se1 0.000 0.000 0.500
Os1 0.252 0.504 0.275
Os2 0.748 0.496 0.725
Sb1 0.500 0.000 0.000
# E_form (uncorrected): 0.546 eV per atom
# Energy relative to the lowest polymorph listed for this composition: 0 meV per atom
# SG: C2/m, No. 12
# Magnetic moment: 0.000 Bohr magnetons per cell
# Total DFT energy (no corrections): -7.664 eV/atom

No. 2
# SrTe2Rh PBEsol optimized geometry
data_SrTe2Rh
_cell_length_a 4.350
_cell_length_b 4.350
_cell_length_c 5.931
_cell_angle_alpha 111.52
_cell_angle_beta 111.52
_cell_angle_gamma 90.00
_symmetry_space_group_name_H-M 'P 1'
_symmetry_Int_Tables_number 1
loop_
_symmetry_equiv_pos_as_xyz
'x,y,z'
loop_
_atom_site_label
_atom_site_fract_x
_atom_site_fract_y
_atom_site_fract_z
Rh1 0.500 0.500 0.000
Sr1 0.250 0.750 0.500
Te1 0.750 0.250 0.500
Te2 0.000 0.000 0.000
# E_form (uncorrected): -0.303 eV per atom
# Energy relative to the lowest polymorph listed for this composition: 471 meV per atom
# SG: I-4m2, No. 119
# Magnetic moment: 0.000 Bohr magnetons per cell
# Total DFT energy (no corrections): -4.561 eV/atom

No. 3
# Sc2Co12P7 PBEsol optimized geometry
data_Sc2Co12P7
_cell_length_a 3.470
_cell_length_b 8.819
_cell_length_c 8.819
_cell_angle_alpha 120.00
_cell_angle_beta 90.00
_cell_angle_gamma 90.00
_symmetry_space_group_name_H-M 'P 1'
_symmetry_Int_Tables_number 1
loop_
_symmetry_equiv_pos_as_xyz
'x,y,z'
loop_
_atom_site_label
_atom_site_fract_x
_atom_site_fract_y
_atom_site_fract_z
Co1 0.500 0.800 0.569
P1 0.500 0.550 0.926
P2 0.000 0.785 0.744
Co2 0.000 0.547 0.489
Co3 0.500 0.769 0.200
Co4 0.000 0.230 0.272
Co5 0.500 0.105 0.388
Co6 0.000 0.728 0.958
P3 0.500 0.074 0.624
Co7 0.000 0.942 0.453
P4 0.000 0.256 0.041
Sc1 0.000 0.333 0.667
P5 0.500 0.376 0.450
Co8 0.000 0.042 0.770
P6 0.000 0.667 0.333
Co9 0.500 0.431 0.231
Sc2 0.500 0.000 0.000
Co10 0.500 0.612 0.717
P7 0.000 0.959 0.215
Co11 0.000 0.511 0.058
Co12 0.500 0.283 0.895
# SG: P-6, No. 174
# Magnetic moment: 4.459 Bohr magnetons per cell
# Total DFT energy (no corrections): -7.887 eV/atom

No. 4
# Cd3Pb2Se4I2O12 PBEsol optimized geometry
data_Cd3Pb2Se4I2O12
_cell_length_a 5.434
_cell_length_b 10.985
_cell_length_c 14.871
_cell_angle_alpha 101.04
_cell_angle_beta 90.00
_cell_angle_gamma 90.00
_symmetry_space_group_name_H-M 'P 1'
_symmetry_Int_Tables_number 1
loop_
_symmetry_equiv_pos_as_xyz
'x,y,z'
loop_
_atom_site_label
_atom_site_fract_x
_atom_site_fract_y
_atom_site_fract_z
O1 0.010 0.702 0.360
Se1 0.746 0.612 0.351
Se2 0.746 0.888 0.149
O2 0.344 0.092 0.740
O3 0.466 0.582 0.930
Se3 0.733 0.922 0.633
O4 0.541 0.735 0.391
Cd1 0.206 0.085 0.594
O5 0.459 0.235 0.891
O6 0.459 0.265 0.609
O7 0.990 0.298 0.640
O8 0.946 0.884 0.543
Pb1 0.247 0.790 0.993
I1 0.259 0.092 0.103
Se4 0.254 0.112 0.851
O9 0.184 0.576 0.155
Cd2 0.206 0.415 0.906
O10 0.816 0.424 0.845
O11 0.656 0.908 0.260
Se5 0.267 0.422 0.133
O12 0.466 0.918 0.570
O13 0.946 0.616 0.957
O14 0.541 0.765 0.109
O15 0.010 0.798 0.140
O16 0.656 0.592 0.240
Cd3 0.680 0.250 0.750
Se6 0.254 0.388 0.649
Cd4 0.320 0.750 0.250
O17 0.054 0.384 0.043
O18 0.990 0.202 0.860
O19 0.054 0.116 0.457
O20 0.184 0.924 0.345
Cd5 0.794 0.585 0.094
O21 0.344 0.408 0.760
O22 0.534 0.082 0.430
Pb2 0.247 0.710 0.507
I2 0.259 0.408 0.397
Se7 0.267 0.078 0.367
O23 0.816 0.076 0.655
Pb3 0.753 0.210 0.007
Pb4 0.753 0.290 0.493
Cd6 0.794 0.915 0.406
O24 0.534 0.418 0.070
I3 0.741 0.592 0.603
I4 0.741 0.908 0.897
Se8 0.733 0.578 0.867
# E_form (uncorrected): -0.953 eV per atom
# SG: P2/c, No. 13
# Magnetic moment: 0.000 Bohr magnetons per cell
# Total DFT energy (no corrections): -5.018 eV/atom

No. 5
# KSrAs2 PBEsol optimized geometry
data_KSrAs2
_cell_length_a 4.002
_cell_length_b 4.250
_cell_length_c 6.946
_cell_angle_alpha 90.00
_cell_angle_beta 90.00
_cell_angle_gamma 90.00
_symmetry_space_group_name_H-M 'P 1'
_symmetry_Int_Tables_number 1
loop_
_symmetry_equiv_pos_as_xyz
'x,y,z'
loop_
_atom_site_label
_atom_site_fract_x
_atom_site_fract_y
_atom_site_fract_z
Sr1 0.500 0.500 0.500
As1 0.000 0.000 0.324
As2 0.000 0.000 0.676
K1 0.500 0.500 0.000
# Energy relative to the lowest polymorph listed for this composition: 0 meV per atom
# SG: Pmmm, No. 47
# Magnetic moment: 0.000 Bohr magnetons per cell
# Total DFT energy (no corrections): -3.992 eV/atom

No. 6
# YRuPt2 PBEsol optimized geometry
data_YRuPt2
_cell_length_a 4.597
_cell_length_b 4.597
_cell_length_c 4.597
_cell_angle_alpha 60.00
_cell_angle_beta 60.00
_cell_angle_gamma 60.00
_symmetry_space_group_name_H-M 'P 1'
_symmetry_Int_Tables_number 1
loop_
_symmetry_equiv_pos_as_xyz
'x,y,z'
loop_
_atom_site_label
_atom_site_fract_x
_atom_site_fract_y
_atom_site_fract_z
Pt1 0.750 0.750 0.750
Ru1 0.000 0.000 0.000
Pt2 0.250 0.250 0.250
Y1 0.500 0.500 0.500
# SG: Fm-3m, No. 225
# Magnetic moment: 0.981 Bohr magnetons per cell
# Total DFT energy (no corrections): -7.968 eV/atom

No. 7
# TaNbO3 PBEsol optimized geometry
data_TaNbO3
_cell_length_a 3.989
_cell_length_b 3.989
_cell_length_c 3.989
_cell_angle_alpha 90.00
_cell_angle_beta 90.00
_cell_angle_gamma 90.00
_symmetry_space_group_name_H-M 'P 1'
_symmetry_Int_Tables_number 1
loop_
_symmetry_equiv_pos_as_xyz
'x,y,z'
loop_
_atom_site_label
_atom_site_fract_x
_atom_site_fract_y
_atom_site_fract_z
Nb1 0.000 0.000 0.000
O1 0.000 0.000 0.500
O2 0.500 0.000 0.000
O3 0.000 0.500 0.000
Ta1 0.500 0.500 0.500
# E_form (uncorrected): -0.987 eV per atom
# SG: Pm-3m, No. 221
# Magnetic moment: 2.859 Bohr magnetons per cell
# Total DFT energy (no corrections): -8.811 eV/atom

No. 8
# TaMoC2 PBEsol optimized geometry
data_TaMoC2
_cell_length_a 2.957
_cell_length_b 3.112
_cell_length_c 4.799
_cell_angle_alpha 90.00
_cell_angle_beta 90.00
_cell_angle_gamma 90.00
_symmetry_space_group_name_H-M 'P 1'
_symmetry_Int_Tables_number 1
loop_
_symmetry_equiv_pos_as_xyz
'x,y,z'
loop_
_atom_site_label
_atom_site_fract_x
_atom_site_fract_y
_atom_site_fract_z
Mo1 0.500 0.000 0.000
C1 0.000 0.000 0.339
Ta1 0.500 0.500 0.500
C2 0.000 0.000 0.661
# Energy relative to the lowest polymorph listed for this composition: 0 meV per atom
# SG: Pmmm, No. 47
# Magnetic moment: 0.001 Bohr magnetons per cell
# Total DFT energy (no corrections): -10.790 eV/atom

No. 9
# TaAlAsSe2 PBEsol optimized geometry
data_TaAlAsSe2
_cell_length_a 4.711
_cell_length_b 4.711
_cell_length_c 4.687
_cell_angle_alpha 90.00
_cell_angle_beta 90.00
_cell_angle_gamma 90.00
_symmetry_space_group_name_H-M 'P 1'
_symmetry_Int_Tables_number 1
loop_
_symmetry_equiv_pos_as_xyz
'x,y,z'
loop_
_atom_site_label
_atom_site_fract_x
_atom_site_fract_y
_atom_site_fract_z
Se1 0.000 0.500 0.000
Al1 0.000 0.000 0.000
Ta1 0.500 0.500 0.500
As1 0.000 0.000 0.500
Se2 0.500 0.000 0.000
# E_form (uncorrected): 0.712 eV per atom
# Energy relative to the lowest polymorph listed for this composition: 612 meV per atom
# SG: P4/mmm, No. 123
# Magnetic moment: 1.557 Bohr magnetons per cell
# Total DFT energy (no corrections): -5.178 eV/atom

No. 10
# ZnRe2As PBEsol optimized geometry
data_ZnRe2As
_cell_length_a 2.877
_cell_length_b 4.335
_cell_length_c 4.935
_cell_angle_alpha 90.00
_cell_angle_beta 106.11
_cell_angle_gamma 90.00
_symmetry_space_group_name_H-M 'P 1'
_symmetry_Int_Tables_number 1
loop_
_symmetry_equiv_pos_as_xyz
'x,y,z'
loop_
_atom_site_label
_atom_site_fract_x
_atom_site_fract_y
_atom_site_fract_z
Re1 0.783 0.500 0.209
Re2 0.193 0.000 0.011
Zn1 0.464 0.000 0.534
As1 0.060 0.500 0.746
# Energy relative to the lowest polymorph listed for this composition: 0 meV per atom
# SG: Pm, No. 6
# Magnetic moment: 0.000 Bohr magnetons per cell
# Total DFT energy (no corrections): -8.054 eV/atom

No. 11
# MoPbO2 PBEsol optimized geometry
data_MoPbO2
_cell_length_a 3.278
_cell_length_b 3.278
_cell_length_c 7.110
_cell_angle_alpha 76.68
_cell_angle_beta 76.68
_cell_angle_gamma 60.00
_symmetry_space_group_name_H-M 'P 1'
_symmetry_Int_Tables_number 1
loop_
_symmetry_equiv_pos_as_xyz
'x,y,z'
loop_
_atom_site_label
_atom_site_fract_x
_atom_site_fract_y
_atom_site_fract_z
Pb1 0.000 0.000 0.000
O1 0.123 0.123 0.631
Mo1 0.500 0.500 0.500
O2 0.877 0.877 0.369
# E_form (uncorrected): -1.057 eV per atom
# SG: R-3m, No. 166
# Magnetic moment: 2.585 Bohr magnetons per cell
# Total DFT energy (no corrections): -7.623 eV/atom

No. 12
# LiMg2Al PBEsol optimized geometry
data_LiMg2Al
_cell_length_a 3.435
_cell_length_b 3.435
_cell_length_c 6.468
_cell_angle_alpha 90.00
_cell_angle_beta 90.00
_cell_angle_gamma 90.00
_symmetry_space_group_name_H-M 'P 1'
_symmetry_Int_Tables_number 1
loop_
_symmetry_equiv_pos_as_xyz
'x,y,z'
loop_
_atom_site_label
_atom_site_fract_x
_atom_site_fract_y
_atom_site_fract_z
Li1 0.500 0.500 0.500
Mg1 0.000 0.000 0.749
Mg2 0.000 0.000 0.251
Al1 0.500 0.500 0.000
# SG: P4/mmm, No. 123
# Magnetic moment: 0.000 Bohr magnetons per cell
# Total DFT energy (no corrections): -2.395 eV/atom